A plane-wave DFT calculation with PBE was carried out for a relaxed GdAlGaCu2 crystal.

Cell and atoms, written as POSCAR:
```
GdAlGaCu2
1.0
4.1171 0.0000 0.0000
0.0000 4.1171 0.0000
0.0000 0.0000 10.2837
Al Cu Ga Gd
2 4 2 2
Cartesian
0.0000 0.0000 5.1418
2.0586 2.0586 5.1418
0.0000 0.0000 0.0000
2.0586 2.0586 0.0000
0.0000 2.0586 3.7574
2.0586 0.0000 6.5262
0.0000 2.0586 1.3549
2.0586 0.0000 8.9287
2.0586 0.0000 2.5146
0.0000 2.0586 7.7691
```

Computed properties:
* spin magnetization: 0.001 μB/atom
* symmetry: No. 129
* final energy: -42.19 eV/cell
* volume: 87.2 Å³/f.u.